# 1
The following is a PBEsol calculation of a relaxed structure of NiSnP2Cl, from Alexandria.

relative energy among the computed polymorphs: 0.0 kJ/mol of atoms
energy relative to the elements, uncorrected: 0.21 eV per atom
symmetry: P4/mmm

a = 4.215 Å, b = 4.215 Å, c = 5.666 Å
α = 90.00°, β = 90.00°, γ = 90.00°
Atoms (fractional coordinates):
1 Ni 0.000 0.000 0.000
2 Sn 0.500 0.500 0.500
3 P 0.000 0.500 0.000
4 P 0.500 0.000 0.000
5 Cl 0.000 0.000 0.500

***

# 2
The following is a PBEsol calculation of a relaxed structure of LiPm2Co, from Alexandria.

E_tot: -4.96 eV/atom
symmetry: Fm-3m

a = 4.905 Å, b = 4.905 Å, c = 4.905 Å
α = 60.00°, β = 60.00°, γ = 60.00°
Atoms (fractional coordinates):
1 Li 0.000 0.000 0.000
2 Pm 0.250 0.250 0.250
3 Pm 0.750 0.750 0.750
4 Co 0.500 0.500 0.500

***

# 3
The following is a PBEsol calculation of a relaxed structure of Y3TlW, from Alexandria.

E_tot: -5.97 eV/atom
symmetry: Pm-3m

a = 5.530 Å, b = 5.530 Å, c = 5.530 Å
α = 90.00°, β = 90.00°, γ = 90.00°
Atoms (fractional coordinates):
1 Y 0.000 0.000 0.500
2 Y 0.000 0.500 0.000
3 Y 0.500 0.000 0.000
4 Tl 0.000 0.000 0.000
5 W 0.500 0.500 0.500

***

# 4
The following is a PBEsol calculation of a relaxed structure of ScAlC2I, from Alexandria.

energy relative to the elements, uncorrected: 1.82 eV per atom
symmetry: P4/mmm

a = 4.235 Å, b = 4.235 Å, c = 5.926 Å
α = 90.00°, β = 90.00°, γ = 90.00°
Atoms (fractional coordinates):
1 Sc 0.000 0.000 0.000
2 Al 0.000 0.000 0.500
3 C 0.000 0.500 0.000
4 C 0.500 0.000 0.000
5 I 0.500 0.500 0.500

***

# 5
The following is a PBEsol calculation of a relaxed structure of LaSi, from Alexandria.

energy relative to the elements, uncorrected: -0.78 eV per atom
symmetry: Cmcm

a = 6.017 Å, b = 6.017 Å, c = 3.936 Å
α = 90.00°, β = 90.00°, γ = 136.09°
Atoms (fractional coordinates):
1 La 0.142 0.858 0.750
2 La 0.858 0.142 0.250
3 Si 0.432 0.568 0.750
4 Si 0.568 0.432 0.250

***

# 6
The following is a PBEsol calculation of a relaxed structure of MgRe, from Alexandria.

relative energy among the computed polymorphs: 33.6 kJ/mol of atoms
symmetry: C2/m

a = 5.359 Å, b = 5.359 Å, c = 5.159 Å
α = 116.22°, β = 116.22°, γ = 28.71°
Atoms (fractional coordinates):
1 Mg 0.123 0.123 0.476
2 Mg 0.877 0.877 0.524
3 Re 0.380 0.380 0.019
4 Re 0.620 0.620 0.981